Record 1
{
  "formula": "Sm2MgSnO6",
  "functional": "PBE",
  "state": "optimized geometry",
  "magnetic_moment_mub_per_fu": 0.01,
  "lattice": [[5.453, 0.000, 0.000], [0.000, 5.736, 0.000], [-5.416, 0.000, 7.846]],
  "species": ["Sm", "Sm", "Sm", "Sm", "Mg", "Mg", "Sn", "Sn", "O", "O", "O", "O", "O", "O", "O", "O", "O", "O", "O", "O"],
  "frac_coords": [[0.232, 0.062, 0.250], [0.232, 0.438, 0.750], [0.768, 0.562, 0.250], [0.768, 0.938, 0.750], [0.000, 0.000, 0.500], [0.000, 0.500, 0.000], [0.500, 0.000, 0.000], [0.500, 0.500, 0.500], [0.137, 0.197, 0.943], [0.137, 0.303, 0.443], [0.248, 0.698, 0.942], [0.248, 0.802, 0.442], [0.361, 0.041, 0.749], [0.361, 0.459, 0.249], [0.639, 0.541, 0.751], [0.639, 0.959, 0.251], [0.752, 0.198, 0.558], [0.752, 0.302, 0.058], [0.863, 0.697, 0.557], [0.863, 0.803, 0.057]]
}

---

Record 2
{
  "formula": "TbSm2MgO6",
  "functional": "PBE",
  "state": "optimized geometry",
  "magnetic_moment_mub_per_fu": 1.01,
  "lattice": [[5.599, 0.000, 0.000], [0.000, 5.872, 0.000], [-5.383, 0.000, 8.032]],
  "species": ["Tb", "Tb", "Sm", "Sm", "Sm", "Sm", "Mg", "Mg", "O", "O", "O", "O", "O", "O", "O", "O", "O", "O", "O", "O"],
  "frac_coords": [[0.000, 0.000, 0.000], [0.000, 0.500, 0.500], [0.278, 0.064, 0.752], [0.278, 0.436, 0.252], [0.722, 0.564, 0.748], [0.722, 0.936, 0.248], [0.500, 0.000, 0.500], [0.500, 0.500, 0.000], [0.123, 0.062, 0.261], [0.123, 0.438, 0.761], [0.273, 0.688, 0.069], [0.273, 0.812, 0.569], [0.389, 0.203, 0.071], [0.389, 0.297, 0.571], [0.611, 0.703, 0.429], [0.611, 0.797, 0.929], [0.727, 0.188, 0.431], [0.727, 0.312, 0.931], [0.877, 0.562, 0.239], [0.877, 0.938, 0.739]]
}

---

Record 3
{
  "formula": "Sm2MgTeO6",
  "functional": "PBE",
  "state": "optimized geometry",
  "magnetic_moment_mub_per_fu": 0.00,
  "lattice": [[5.533, 0.000, 0.000], [0.000, 5.849, 0.000], [-5.443, 0.000, 8.019]],
  "species": ["Sm", "Sm", "Sm", "Sm", "Mg", "Mg", "Te", "Te", "O", "O", "O", "O", "O", "O", "O", "O", "O", "O", "O", "O"],
  "frac_coords": [[0.229, 0.065, 0.249], [0.229, 0.435, 0.749], [0.771, 0.565, 0.251], [0.771, 0.935, 0.751], [0.000, 0.000, 0.500], [0.000, 0.500, 0.000], [0.500, 0.000, 0.000], [0.500, 0.500, 0.500], [0.118, 0.198, 0.936], [0.118, 0.302, 0.436], [0.239, 0.689, 0.936], [0.239, 0.811, 0.436], [0.370, 0.052, 0.743], [0.370, 0.448, 0.243], [0.630, 0.552, 0.757], [0.630, 0.948, 0.257], [0.761, 0.189, 0.564], [0.761, 0.311, 0.064], [0.882, 0.698, 0.564], [0.882, 0.802, 0.064]]
}

---

Record 4
{
  "formula": "Sm2MgZrO6",
  "functional": "PBE",
  "state": "optimized geometry",
  "magnetic_moment_mub_per_fu": 0.01,
  "lattice": [[5.497, 0.000, 0.000], [0.000, 5.761, 0.000], [-5.412, 0.000, 7.930]],
  "species": ["Sm", "Sm", "Sm", "Sm", "Mg", "Mg", "Zr", "Zr", "O", "O", "O", "O", "O", "O", "O", "O", "O", "O", "O", "O"],
  "frac_coords": [[0.230, 0.060, 0.248], [0.230, 0.440, 0.748], [0.770, 0.560, 0.252], [0.770, 0.940, 0.752], [0.000, 0.000, 0.500], [0.000, 0.500, 0.000], [0.500, 0.000, 0.000], [0.500, 0.500, 0.500], [0.134, 0.197, 0.941], [0.134, 0.303, 0.441], [0.241, 0.697, 0.938], [0.241, 0.803, 0.438], [0.366, 0.045, 0.749], [0.366, 0.455, 0.249], [0.634, 0.545, 0.751], [0.634, 0.955, 0.251], [0.759, 0.197, 0.562], [0.759, 0.303, 0.062], [0.866, 0.697, 0.559], [0.866, 0.803, 0.059]]
}

---

Record 5
{
  "formula": "MgTcSn2O6",
  "functional": "PBE",
  "state": "optimized geometry",
  "magnetic_moment_mub_per_fu": 1.00,
  "lattice": [[-2.737, 2.737, 4.011], [2.737, -2.737, 4.011], [2.737, 2.737, -4.011]],
  "species": ["Mg", "Tc", "Sn", "Sn", "O", "O", "O", "O", "O", "O"],
  "frac_coords": [[0.000, 0.000, 0.000], [0.500, 0.500, 0.000], [0.250, 0.750, 0.500], [0.750, 0.250, 0.500], [0.191, 0.672, 0.863], [0.256, 0.256, 0.000], [0.328, 0.191, 0.518], [0.672, 0.809, 0.482], [0.744, 0.744, 0.000], [0.809, 0.328, 0.137]]
}

---

Record 6
{
  "formula": "MgTaO3",
  "functional": "PBE",
  "state": "optimized geometry",
  "magnetic_moment_mub_per_fu": 0.88,
  "lattice": [[2.704, 1.561, 4.424], [-2.704, 1.561, 4.424], [0.000, -3.122, 4.424]],
  "species": ["Mg", "Mg", "Ta", "Ta", "O", "O", "O", "O", "O", "O"],
  "frac_coords": [[0.250, 0.250, 0.250], [0.750, 0.750, 0.750], [0.000, 0.000, 0.000], [0.500, 0.500, 0.500], [0.117, 0.750, 0.383], [0.250, 0.617, 0.883], [0.383, 0.117, 0.750], [0.617, 0.883, 0.250], [0.750, 0.383, 0.117], [0.883, 0.250, 0.617]]
}

---

Record 7
{
  "formula": "MgTaO3",
  "functional": "PBE",
  "state": "optimized geometry",
  "magnetic_moment_mub_per_fu": 0.00,
  "lattice": [[5.036, -4.621, 0.000], [5.036, 4.621, 0.000], [-0.937, 0.000, 5.233]],
  "species": ["Mg", "Mg", "Mg", "Mg", "Ta", "Ta", "Ta", "Ta", "O", "O", "O", "O", "O", "O", "O", "O", "O", "O", "O", "O"],
  "frac_coords": [[0.084, 0.916, 0.750], [0.268, 0.732, 0.250], [0.732, 0.268, 0.750], [0.916, 0.084, 0.250], [0.171, 0.425, 0.655], [0.425, 0.171, 0.155], [0.575, 0.829, 0.845], [0.829, 0.575, 0.345], [0.030, 0.194, 0.632], [0.141, 0.645, 0.896], [0.194, 0.030, 0.132], [0.299, 0.445, 0.367], [0.355, 0.859, 0.604], [0.445, 0.299, 0.867], [0.555, 0.701, 0.133], [0.645, 0.141, 0.396], [0.701, 0.555, 0.633], [0.806, 0.970, 0.868], [0.859, 0.355, 0.104], [0.970, 0.806, 0.368]]
}

---

Record 8
{
  "formula": "TbMgO3",
  "functional": "PBE",
  "state": "optimized geometry",
  "magnetic_moment_mub_per_fu": 1.00,
  "lattice": [[2.765, 1.597, 4.764], [-2.765, 1.597, 4.764], [0.000, -3.193, 4.764]],
  "species": ["Tb", "Tb", "Mg", "Mg", "O", "O", "O", "O", "O", "O"],
  "frac_coords": [[0.136, 0.136, 0.136], [0.864, 0.864, 0.864], [0.352, 0.352, 0.352], [0.648, 0.648, 0.648], [0.053, 0.722, 0.466], [0.278, 0.534, 0.947], [0.466, 0.053, 0.722], [0.534, 0.947, 0.278], [0.722, 0.466, 0.053], [0.947, 0.278, 0.534]]
}

---

Record 9
{
  "formula": "TbMgO3",
  "functional": "PBE",
  "state": "optimized geometry",
  "magnetic_moment_mub_per_fu": 1.00,
  "lattice": [[5.728, 0.000, 0.000], [0.000, 7.477, 0.000], [0.000, 0.000, 5.371]],
  "species": ["Tb", "Tb", "Tb", "Tb", "Mg", "Mg", "Mg", "Mg", "O", "O", "O", "O", "O", "O", "O", "O", "O", "O", "O", "O"],
  "frac_coords": [[0.076, 0.250, 0.023], [0.424, 0.750, 0.523], [0.576, 0.250, 0.477], [0.924, 0.750, 0.977], [0.000, 0.000, 0.500], [0.000, 0.500, 0.500], [0.500, 0.000, 0.000], [0.500, 0.500, 0.000], [0.049, 0.750, 0.372], [0.197, 0.562, 0.810], [0.197, 0.938, 0.810], [0.303, 0.062, 0.310], [0.303, 0.438, 0.310], [0.451, 0.250, 0.872], [0.549, 0.750, 0.128], [0.697, 0.562, 0.690], [0.697, 0.938, 0.690], [0.803, 0.062, 0.190], [0.803, 0.438, 0.190], [0.951, 0.250, 0.628]]
}

---

Record 10
{
  "formula": "TbMgO3",
  "functional": "PBE",
  "state": "optimized geometry",
  "magnetic_moment_mub_per_fu": 1.00,
  "lattice": [[2.788, 1.610, 4.192], [-2.788, 1.610, 4.192], [0.000, -3.219, 4.192]],
  "species": ["Tb", "Tb", "Mg", "Mg", "O", "O", "O", "O", "O", "O"],
  "frac_coords": [[0.250, 0.250, 0.250], [0.750, 0.750, 0.750], [0.000, 0.000, 0.000], [0.500, 0.500, 0.500], [0.150, 0.750, 0.350], [0.250, 0.650, 0.850], [0.350, 0.150, 0.750], [0.650, 0.850, 0.250], [0.750, 0.350, 0.150], [0.850, 0.250, 0.650]]
}

---

Record 11
{
  "formula": "Tb2Mg2O5",
  "functional": "PBE",
  "state": "optimized geometry",
  "magnetic_moment_mub_per_fu": 0.00,
  "lattice": [[3.842, 0.000, 0.000], [0.000, 3.842, 0.000], [0.000, 0.000, 7.141]],
  "species": ["Tb", "Tb", "Mg", "Mg", "O", "O", "O", "O", "O"],
  "frac_coords": [[0.000, 0.000, 0.000], [0.000, 0.000, 0.500], [0.500, 0.500, 0.238], [0.500, 0.500, 0.762], [0.000, 0.500, 0.201], [0.000, 0.500, 0.799], [0.500, 0.000, 0.201], [0.500, 0.000, 0.799], [0.500, 0.500, 0.500]]
}

---

Record 12
{
  "formula": "Tb2Mg2O5",
  "functional": "PBE",
  "state": "optimized geometry",
  "magnetic_moment_mub_per_fu": 0.11,
  "lattice": [[4.045, 0.000, 0.000], [0.000, 4.045, 0.000], [0.000, 0.000, 8.394]],
  "species": ["Tb", "Tb", "Mg", "Mg", "O", "O", "O", "O", "O"],
  "frac_coords": [[0.000, 0.000, 0.235], [0.000, 0.000, 0.765], [0.500, 0.500, 0.000], [0.500, 0.500, 0.500], [0.000, 0.000, 0.500], [0.000, 0.500, 0.153], [0.000, 0.500, 0.847], [0.500, 0.000, 0.153], [0.500, 0.000, 0.847]]
}

---

Record 13
{
  "formula": "TbMgO3",
  "functional": "PBE",
  "state": "optimized geometry",
  "magnetic_moment_mub_per_fu": 1.00,
  "lattice": [[3.843, 0.000, 0.000], [0.000, 3.843, 0.000], [0.000, 0.000, 4.082]],
  "species": ["Tb", "Mg", "O", "O", "O"],
  "frac_coords": [[0.000, 0.000, 0.000], [0.500, 0.500, 0.615], [0.000, 0.500, 0.689], [0.500, 0.000, 0.689], [0.500, 0.500, 0.137]]
}

---

Record 14
{
  "formula": "MgTcO4",
  "functional": "PBE",
  "state": "optimized geometry",
  "magnetic_moment_mub_per_fu": 0.07,
  "lattice": [[4.626, 0.000, 0.000], [0.000, 5.600, 0.000], [-0.135, 0.000, 4.990]],
  "species": ["Mg", "Mg", "Tc", "Tc", "O", "O", "O", "O", "O", "O", "O", "O"],
  "frac_coords": [[0.000, 0.171, 0.250], [0.000, 0.829, 0.750], [0.500, 0.325, 0.750], [0.500, 0.675, 0.250], [0.234, 0.122, 0.606], [0.234, 0.878, 0.106], [0.285, 0.394, 0.064], [0.285, 0.606, 0.564], [0.715, 0.394, 0.436], [0.715, 0.606, 0.936], [0.766, 0.122, 0.894], [0.766, 0.878, 0.394]]
}

---

Record 15
{
  "formula": "MgTc2O4",
  "functional": "PBE",
  "state": "optimized geometry",
  "magnetic_moment_mub_per_fu": 4.00,
  "lattice": [[0.000, 4.305, 4.305], [4.305, 0.000, 4.305], [4.305, 4.305, 0.000]],
  "species": ["Mg", "Mg", "Tc", "Tc", "Tc", "Tc", "O", "O", "O", "O", "O", "O", "O", "O"],
  "frac_coords": [[0.125, 0.125, 0.125], [0.875, 0.875, 0.875], [0.000, 0.500, 0.500], [0.500, 0.000, 0.500], [0.500, 0.500, 0.000], [0.500, 0.500, 0.500], [0.255, 0.255, 0.255], [0.255, 0.255, 0.734], [0.255, 0.734, 0.255], [0.266, 0.745, 0.745], [0.734, 0.255, 0.255], [0.745, 0.266, 0.745], [0.745, 0.745, 0.266], [0.745, 0.745, 0.745]]
}

---

Record 16
{
  "formula": "MgTcO4",
  "functional": "PBE",
  "state": "optimized geometry",
  "magnetic_moment_mub_per_fu": 0.07,
  "lattice": [[4.632, 0.000, 0.000], [-0.141, 4.992, 0.000], [-0.015, -0.011, 5.593]],
  "species": ["Mg", "Mg", "Tc", "Tc", "O", "O", "O", "O", "O", "O", "O", "O"],
  "frac_coords": [[0.000, 0.249, 0.328], [0.000, 0.751, 0.672], [0.499, 0.750, 0.175], [0.501, 0.250, 0.825], [0.233, 0.606, 0.377], [0.236, 0.106, 0.622], [0.284, 0.063, 0.105], [0.286, 0.564, 0.892], [0.714, 0.436, 0.108], [0.716, 0.937, 0.895], [0.764, 0.894, 0.378], [0.767, 0.394, 0.623]]
}

---

Record 17
{
  "formula": "Tm2MgO4",
  "functional": "PBE",
  "state": "optimized geometry",
  "magnetic_moment_mub_per_fu": 0.00,
  "lattice": [[0.000, 4.568, 4.568], [4.568, 0.000, 4.568], [4.568, 4.568, 0.000]],
  "species": ["Tm", "Tm", "Tm", "Tm", "Mg", "Mg", "O", "O", "O", "O", "O", "O", "O", "O"],
  "frac_coords": [[0.000, 0.000, 0.000], [0.000, 0.000, 0.500], [0.000, 0.500, 0.000], [0.500, 0.000, 0.000], [0.375, 0.375, 0.375], [0.625, 0.625, 0.625], [0.233, 0.756, 0.756], [0.244, 0.244, 0.244], [0.244, 0.244, 0.767], [0.244, 0.767, 0.244], [0.756, 0.233, 0.756], [0.756, 0.756, 0.233], [0.756, 0.756, 0.756], [0.767, 0.244, 0.244]]
}

---

Record 18
{
  "formula": "Mg3Zn16O16",
  "functional": "PBE",
  "state": "optimized geometry",
  "lattice": [[6.482, 0.000, 0.000], [3.217, 5.913, 0.000], [0.349, 0.414, 11.086]],
  "species": ["Mg", "Mg", "Mg", "Zn", "Zn", "Zn", "Zn", "Zn", "Zn", "Zn", "Zn", "Zn", "Zn", "Zn", "Zn", "Zn", "Zn", "Zn", "Zn", "O", "O", "O", "O", "O", "O", "O", "O", "O", "O", "O", "O", "O", "O", "O", "O"],
  "frac_coords": [[0.000, 0.000, 0.000], [0.031, 0.897, 0.511], [0.342, 0.536, 0.737], [0.059, 0.290, 0.859], [0.065, 0.602, 0.943], [0.116, 0.170, 0.331], [0.117, 0.562, 0.359], [0.228, 0.334, 0.553], [0.280, 0.281, 0.086], [0.283, 0.959, 0.719], [0.287, 0.781, 0.188], [0.566, 0.135, 0.883], [0.580, 0.633, 0.926], [0.582, 0.149, 0.392], [0.596, 0.641, 0.426], [0.728, 0.325, 0.168], [0.737, 0.830, 0.167], [0.750, 0.792, 0.672], [0.770, 0.297, 0.644], [0.064, 0.716, 0.105], [0.084, 0.647, 0.624], [0.090, 0.119, 0.140], [0.091, 0.125, 0.579], [0.239, 0.782, 0.865], [0.250, 0.813, 0.366], [0.332, 0.290, 0.263], [0.336, 0.230, 0.742], [0.558, 0.647, 0.610], [0.594, 0.645, 0.107], [0.653, 0.122, 0.065], [0.666, 0.360, 0.819], [0.688, 0.076, 0.564], [0.745, 0.803, 0.856], [0.761, 0.329, 0.347], [0.768, 0.804, 0.347]]
}

---

| no. | E_tot (eV per atom) |
| --- | --- |
| 1 | -7.254 |
| 2 | -7.513 |
| 3 | -6.889 |
| 4 | -8.188 |
| 5 | -6.446 |
| 6 | -8.146 |
| 7 | -8.153 |
| 8 | -6.769 |
| 9 | -6.868 |
| 10 | -6.802 |
| 11 | -6.956 |
| 12 | -6.417 |
| 13 | -6.660 |
| 14 | -7.074 |
| 15 | -7.444 |
| 16 | -7.074 |
| 17 | -7.599 |
| 18 | -4.217 |